The following is a PBE calculation of V3AuN after structural relaxation, from Alexandria.

Properties
**Final energy**: -8.35 eV/atom
**Formation energy without anion corrections**: -555 meV per atom
**SG**: No. 51

Unit cell a=7.8585 b=3.9750 c=4.0432 alpha=90.00 beta=90.00 gamma=90.00
Each line ends with the local moment (μB).
Sites, in units of the cell vectors:
V  0.0530  0.4108  0.8102  -0.17
V  0.8130  0.4109  0.3101  0.01
V  0.8013  0.9108  0.8102  0.17
V  0.5395  0.9108  0.3101  -0.77
V  0.3147  0.4108  0.3101  0.77
V  0.0412  0.9109  0.3101  -0.01
N  0.7902  0.9109  0.3102  0.01
N  0.0640  0.4109  0.3102  -0.01
Au  0.5583  0.4108  0.8101  -0.01
Au  0.2959  0.9108  0.8101  0.01


The following is a PBE calculation of V3AuN after structural relaxation, from Alexandria.

Properties
**Final energy**: -7.76 eV/atom
**Formation energy without anion corrections**: 35 meV per atom
**SG**: No. 119

Unit cell a=4.7839 b=4.7839 c=7.1872 alpha=70.56 beta=70.56 gamma=90.00
Each line ends with the local moment (μB).
Sites, in units of the cell vectors:
V  0.6230  0.8903  0.2194  0.37
V  0.7235  0.7235  0.5530  -0.18
V  0.2765  0.2765  0.4470  -0.18
V  0.1575  0.8903  0.2194  0.37
V  0.1097  0.3770  0.7806  0.37
V  0.1097  0.8425  0.7806  0.37
Au  0.8681  0.3681  0.2638  0.00
Au  0.6319  0.1319  0.7362  0.00
N  0.2500  0.7500  0.5000  -0.01
N  0.0000  0.0000  0.0000  -0.01


The following is a PBE calculation of V3AuN after structural relaxation, from Alexandria.

Properties
**Final energy**: -8.11 eV/atom
**Formation energy without anion corrections**: -314 meV per atom
**SG**: No. 227

Unit cell a=7.4701 b=7.4701 c=7.4701 alpha=60.00 beta=60.00 gamma=60.00
Sites, in units of the cell vectors:
Au  0.6250  0.6250  0.6250
Au  0.6250  0.6250  0.1250
Au  0.1250  0.6250  0.6250
Au  0.6250  0.1250  0.6250
V  0.1780  0.8220  0.1780
V  0.8220  0.8220  0.1780
V  0.1780  0.1780  0.8220
V  0.0720  0.4280  0.0720
V  0.8220  0.1780  0.8220
V  0.4280  0.0720  0.0720
V  0.0720  0.0720  0.4280
V  0.1780  0.8220  0.8220
V  0.4280  0.0720  0.4280
V  0.4280  0.4280  0.0720
V  0.8220  0.1780  0.1780
V  0.0720  0.4280  0.4280
N  0.1250  0.6250  0.1250
N  0.1250  0.1250  0.1250
N  0.1250  0.1250  0.6250
N  0.6250  0.1250  0.1250


The following is a PBE calculation of V3AuN after structural relaxation, from Alexandria.

Properties
**Final energy**: -8.38 eV/atom
**Formation energy without anion corrections**: -589 meV per atom
**SG**: No. 221

Unit cell a=3.9772 b=3.9772 c=3.9772 alpha=90.00 beta=90.00 gamma=90.00
Sites, in units of the cell vectors:
Au  0.5000  0.5000  0.5000
V  0.0000  0.5000  0.0000
V  0.0000  0.0000  0.5000
V  0.5000  0.0000  0.0000
N  0.0000  0.0000  0.0000


The following is a PBE calculation of V4Au2N after structural relaxation, from Alexandria.

Properties
**Final energy**: -7.54 eV/atom
**Formation energy without anion corrections**: -203 meV per atom
**SG**: No. 139

Unit cell a=3.9511 b=3.9511 c=7.0576 alpha=73.74 beta=73.74 gamma=90.00
Each line ends with the local moment (μB).
Sites, in units of the cell vectors:
Au  0.3545  0.3545  0.2910  0.00
Au  0.6455  0.6455  0.7090  0.00
V  0.0000  0.5000  0.0000  -0.07
V  0.8451  0.8451  0.3098  0.49
V  0.1549  0.1549  0.6902  0.49
V  0.5000  0.0000  0.0000  -0.07
N  0.0000  0.0000  0.0000  -0.01


The following is a PBE calculation of V3AuN after structural relaxation, from Alexandria.

Properties
**Final energy**: -7.96 eV/atom
**Formation energy without anion corrections**: -169 meV per atom
**SG**: No. 38

Unit cell a=2.9387 b=4.8349 c=4.8349 alpha=97.53 beta=90.00 gamma=90.00
Sites, in units of the cell vectors:
Au  0.0000  0.6152  0.3848
N  0.5000  0.0315  0.9685
V  0.5000  0.6523  0.8806
V  0.0000  0.2096  0.7904
V  0.5000  0.1194  0.3477


The following is a PBE calculation of Zr2VAuN after structural relaxation, from Alexandria.

Properties
**Final energy**: -8.42 eV/atom
**Formation energy without anion corrections**: -858 meV per atom
**SG**: No. 123

Unit cell a=4.5488 b=4.5488 c=3.9008 alpha=90.00 beta=90.00 gamma=90.00
Sites, in units of the cell vectors:
N  0.0000  0.0000  0.0000
V  0.0000  0.0000  0.5000
Zr  0.5000  0.0000  0.0000
Zr  0.0000  0.5000  0.0000
Au  0.5000  0.5000  0.5000


The following is a PBE calculation of ZrV2AuN after structural relaxation, from Alexandria.

Properties
**Final energy**: -8.36 eV/atom
**Formation energy without anion corrections**: -681 meV per atom
**SG**: No. 123

Unit cell a=4.0020 b=4.0020 c=4.4873 alpha=90.00 beta=90.00 gamma=90.00
Sites, in units of the cell vectors:
N  0.0000  0.0000  0.0000
Zr  0.0000  0.0000  0.5000
Au  0.5000  0.5000  0.5000
V  0.0000  0.5000  0.0000
V  0.5000  0.0000  0.0000